The following is a DFT calculation (PBE) of AcThCdPd after structural relaxation.

a = 5.4166 Å, b = 5.4166 Å, c = 5.4166 Å
α = 60.00°, β = 60.00°, γ = 60.00°
Last column: nearest neighbours and their distance in Å.
Positions (direct):
1 Th 0.5000 0.5000 0.5000  4 Pd 3.32, 4 Cd 3.32
2 Pd 0.2500 0.2500 0.2500  4 Ac 3.32, 4 Th 3.32
3 Cd 0.7500 0.7500 0.7500  4 Ac 3.32, 4 Th 3.32
4 Ac 0.0000 0.0000 0.0000  4 Cd 3.32, 4 Pd 3.32

N(E_F), states/eV per cell: 3.8
Symmetry: No. 216
Volume, Å³/atom: 28.09
Formation enthalpy at 0 K, kcal/mol of atoms: -6.740
Calculated total energy, eV for the cell shown: -18.8

---

The following is a DFT calculation (PBE) of CrTcPt2 after structural relaxation.

a = 3.9537 Å, b = 2.7242 Å, c = 6.0577 Å
α = 63.35°, β = 90.00°, γ = 90.00°
Last column: nearest neighbours and their distance in Å.
Positions (direct):
1 Pt 0.0000 0.9995 0.0000  4 Pt 2.71-2.72, 4 Cr 2.75-2.76, 4 Tc 2.76
2 Pt 0.0000 0.5005 0.5000  4 Pt 2.71-2.72, 4 Cr 2.75-2.76, 4 Tc 2.76
3 Cr 0.5000 0.7500 0.7500  2 Tc 2.71, 2 Cr 2.72, 8 Pt 2.75-2.76
4 Tc 0.5000 0.2500 0.2500  2 Cr 2.71, 2 Tc 2.72, 8 Pt 2.76

N(E_F), states/eV per cell: 5.0
Symmetry: No. 47
Volume, Å³/atom: 14.58
E above lowest polymorph, eV per atom: 0.055
Formation enthalpy at 0 K, kcal/mol of atoms: -3.074
Calculated total energy, eV for the cell shown: -32.6

---

The following is a DFT calculation (PBE) of TbTmF6 after structural relaxation.

a = 5.8704 Å, b = 5.8720 Å, c = 6.1746 Å
α = 61.60°, β = 61.58°, γ = 59.97°
Last column: nearest neighbours and their distance in Å.
Positions (direct):
1 Tm 0.0000 0.0000 0.0000  6 F 2.15
2 F 0.2466 0.8273 0.2465  1 Tm 2.15, 1 Tb 2.20
3 F 0.8273 0.6795 0.2463  1 Tm 2.15, 1 Tb 2.20
4 F 0.7534 0.1727 0.7535  1 Tm 2.15, 1 Tb 2.20
5 F 0.6793 0.2469 0.2464  1 Tm 2.15, 1 Tb 2.20
6 F 0.1727 0.3205 0.7537  1 Tm 2.15, 1 Tb 2.20
7 F 0.3207 0.7531 0.7536  1 Tm 2.15, 1 Tb 2.20
8 Tb 0.5000 0.5000 0.5000  6 F 2.20

N(E_F), states/eV per cell: 0.0
Symmetry: No. 148
E_form (uncorrected), meV per atom: -4143
Volume, Å³/atom: 19.25
Calculated total energy, eV for the cell shown: -53.5